A plane-wave DFT calculation with PBE-GGA was carried out for a geometry-optimized LaAs2Pb structure.

It has space group C2/m (No. 12), with a = 7.596 Å, b = 4.394 Å, c = 7.463 Å, α = 90.00°, β = 109.86° and γ = 90.00°. Symmetry generates all atoms from La at (0.000, 0.000, 0.000), As at (0.246, 0.500, 0.239) and Pb at (0.000, 0.500, 0.500).

As for the energy of formation from the pure elements: -0.635 eV per atom. The value obtained for the size of the total moment is 0.00 Bohr magnetons per cell.

=====

A plane-wave DFT calculation with PBE-GGA was carried out for a geometry-optimized Sr2YSc structure.

It has space group Immm (No. 71), with a = 4.082 Å, b = 5.959 Å, c = 12.328 Å, α = 90.00°, β = 90.00° and γ = 90.00°. Symmetry generates all atoms from Sr at (0.000, 0.000, 0.233), Y at (0.000, 0.500, 0.000) and Sc at (0.000, 0.500, 0.500).

As for the energy of formation from the pure elements: 0.320 eV per atom. The value obtained for the size of the total moment is 0.09 Bohr magnetons per cell.

=====

A plane-wave DFT calculation with PBE-GGA was carried out for a geometry-optimized CuRe2Mo structure.

It has space group R-3m (No. 166, hexagonal axes), with a = 2.7551 Å, b = 2.7551 Å, c = 26.9748 Å, α = 90.00°, β = 90.00° and γ = 120.00°. Symmetry generates all atoms from Cu at (0.0000, 0.0000, 0.0000), Re at (0.0000, 0.0000, 0.2515) and Mo at (0.0000, 0.0000, 0.5000).

As for the energy of formation from the pure elements: 0.274 eV per atom. The value obtained for the size of the total moment is 0.00 Bohr magnetons per cell.

=====

A plane-wave DFT calculation with PBE-GGA was carried out for a geometry-optimized TcIrO4 structure.

It has space group I4_1md (No. 109), with a = 6.480 Å, b = 6.480 Å, c = 6.334 Å, α = 90.00°, β = 90.00° and γ = 90.00°. Symmetry generates all atoms from Tc at (0.000, 0.000, 0.000), Ir at (0.000, 0.000, 0.499), O at (0.000, 0.307, 0.002) and O at (0.000, 0.308, 0.495).

As for the formation energy (no corrections): -1.05 eV/atom. The value obtained for the size of the total moment is 3.74 Bohr magnetons per cell.

=====

A plane-wave DFT calculation with PBE-GGA was carried out for a geometry-optimized NaNi3Hg structure.

It has space group Pm-3m (No. 221), with a = 4.844 Å, b = 4.844 Å, c = 4.844 Å, α = 90.00°, β = 90.00° and γ = 90.00°. Symmetry generates all atoms from Na at (0.000, 0.000, 0.000), Ni at (0.000, 0.500, 0.500) and Hg at (0.500, 0.500, 0.500).

As for the energy of formation from the pure elements: 1.074 eV per atom. The value obtained for the size of the total moment is 1.12 Bohr magnetons per cell.

=====

A plane-wave DFT calculation with PBE-GGA was carried out for a geometry-optimized Be2GaRh2 structure.

It has space group P4/mbm (No. 127), with a = 6.494 Å, b = 6.494 Å, c = 2.911 Å, α = 90.00°, β = 90.00° and γ = 90.00°. Symmetry generates all atoms from Be at (0.134, 0.366, 0.000), Ga at (0.000, 0.000, 0.500) and Rh at (0.157, 0.657, 0.500).

As for the energy of formation from the pure elements: -0.493 eV per atom. The value obtained for the size of the total moment is 0.00 Bohr magnetons per cell.

=====

A plane-wave DFT calculation with PBE-GGA was carried out for a geometry-optimized La2InAgS5 structure.

It has space group Cmc2_1 (No. 36), with a = 4.092 Å, b = 17.498 Å, c = 11.469 Å, α = 90.00°, β = 90.00° and γ = 90.00°. Symmetry generates all atoms from La at (0.000, 0.118, 0.000), La at (0.000, 0.126, 0.380), In at (0.000, 0.414, 0.176), Ag at (0.000, 0.230, 0.714), S at (0.000, 0.032, 0.770), S at (0.000, 0.301, 0.036), S at (0.000, 0.306, 0.358), S at (0.000, 0.371, 0.693) and S at (0.000, 0.488, 0.981).

As for the formation energy (no corrections): -1.36 eV/atom. The value obtained for the size of the total moment is 0.00 Bohr magnetons per cell.

=====

A plane-wave DFT calculation with PBE-GGA was carried out for a geometry-optimized LiCa2Ga structure.

It has space group R-3m (No. 166, hexagonal axes), with a = 3.6408 Å, b = 3.6408 Å, c = 34.7751 Å, α = 90.00°, β = 90.00° and γ = 120.00°. Symmetry generates all atoms from Li at (0.0000, 0.0000, 0.0000), Ca at (0.0000, 0.0000, 0.4124) and Ga at (0.0000, 0.0000, 0.5000).

As for the energy of formation from the pure elements: 0.225 eV per atom. The value obtained for the size of the total moment is 0.00 Bohr magnetons per cell.

=====

A plane-wave DFT calculation with PBE-GGA was carried out for a geometry-optimized Tm8Ga2Te structure.

It has space group C2/m (No. 12), with a = 19.040 Å, b = 4.753 Å, c = 6.798 Å, α = 90.00°, β = 102.19° and γ = 90.00°. Symmetry generates all atoms from Tm at (0.031, 0.000, 0.256), Tm at (0.097, 0.500, 0.976), Tm at (0.163, 0.500, 0.489), Tm at (0.217, 0.000, 0.828), Ga at (0.185, 0.000, 0.251) and Te at (0.000, 0.500, 0.500).

As for the formation energy (no corrections): -0.37 eV/atom. The value obtained for the size of the total moment is 0.00 Bohr magnetons per cell.

=====

A plane-wave DFT calculation with PBE-GGA was carried out for a geometry-optimized Ti7Ge2P2 structure.

It has space group Cmmm (No. 65), with a = 7.367 Å, b = 9.031 Å, c = 5.684 Å, α = 90.00°, β = 90.00° and γ = 90.00°. Symmetry generates all atoms from Ti at (0.000, 0.000, 0.000), Ti at (0.000, 0.500, 0.256), Ti at (0.250, 0.250, 0.263), Ge at (0.180, 0.000, 0.500) and P at (0.000, 0.276, 0.000).

As for the energy of formation from the pure elements: -0.524 eV per atom. The value obtained for the size of the total moment is 0.01 Bohr magnetons per cell.

=====

A plane-wave DFT calculation with PBE-GGA was carried out for a geometry-optimized Tb3PmSm6Er2 structure.

It has space group C2/m (No. 12), with a = 6.227 Å, b = 10.781 Å, c = 11.884 Å, α = 90.00°, β = 100.03° and γ = 90.00°. Symmetry generates all atoms from Tb at (0.000, 0.000, 0.000), Tb at (0.000, 0.333, 0.000), Pm at (0.000, 0.500, 0.500), Sm at (0.249, 0.167, 0.250), Sm at (0.250, 0.000, 0.750) and Er at (0.000, 0.167, 0.500).

As for the energy of formation from the pure elements: 0.014 eV per atom. The value obtained for the size of the total moment is 0.00 Bohr magnetons per cell.

=====

A plane-wave DFT calculation with PBE-GGA was carried out for a geometry-optimized ZrFe2Tc structure.

It has space group P4mm (No. 99), with a = 3.129 Å, b = 3.129 Å, c = 6.088 Å, α = 90.00°, β = 90.00° and γ = 90.00°. Symmetry generates all atoms from Zr at (0.000, 0.000, 0.000), Fe at (0.000, 0.000, 0.484), Fe at (0.500, 0.500, 0.267) and Tc at (0.500, 0.500, 0.704).

As for the energy of formation from the pure elements: 0.008 eV per atom. The value obtained for the size of the total moment is 4.22 Bohr magnetons per cell.